(1)
A plane-wave DFT calculation with GGA+U was carried out for a geometry-optimized K3Co2F7 structure.

The structure in POSCAR format:
```
K3Co2F7
1.0
4.141 -0.072 -0.001
0.072 4.141 -0.001
-2.108 -2.036 10.583
K Co F
3 2 7
Cartesian
-0.003 -0.002 6.694
2.107 2.035 3.887
2.106 2.034 -0.001
0.001 0.001 2.030
2.104 2.032 8.551
0.000 0.000 0.000
0.033 2.067 8.573
2.067 -0.038 8.573
2.071 -0.035 2.009
0.037 2.071 2.009
0.001 0.001 4.047
2.104 2.032 6.534
```

***

(2)
A plane-wave DFT calculation with GGA+U was carried out for a geometry-optimized KCoF3 structure.

The structure in POSCAR format:
```
KCoF3
1.0
-2.568 -1.145 2.824
0.985 -4.117 -0.792
6.308 0.378 5.883
K Co F
2 2 6
Cartesian
6.486 -2.331 5.228
1.699 -0.529 1.615
2.220 -3.058 3.854
3.397 -0.899 5.808
3.749 -2.968 5.278
4.859 -0.769 7.186
0.742 -3.103 2.487
1.871 -0.992 4.381
4.762 -0.347 4.459
3.437 -2.514 2.368
```

***

Number 1: magnetization 6.0 Bohr magnetons per cell, uncorrected energy -55.1 eV/cell. Number 2: magnetization 6.0 Bohr magnetons per cell, uncorrected energy -47.2 eV/cell.